The following is a GGA-PBE calculation of a relaxed structure of IrRuSe, from Alexandria.

Output
size of the total moment: 0.00 μB per formula unit
DOS(E_F): 0.8815 states/eV/atom
calculated total energy: -6.83 eV/atom
ΔE to the lowest computed polymorph: 104 meV per atom
symmetry: I4mm (107)

Unit cell a=5.928 b=5.928 c=5.928 alpha=151.82 beta=151.82 gamma=40.28
Fractional positions:
1 Ir 0.989 0.989 0.000
2 Se 0.679 0.679 0.000
3 Ru 0.332 0.332 0.000


The following is a GGA-PBE calculation of a relaxed structure of NdBe4Pt2Rh, from Alexandria.

Output
size of the total moment: 0.00 μB per formula unit
formation energy: -0.688 eV per atom
DOS(E_F): 0.2346 states/eV/atom
calculated total energy: -5.58 eV/atom
symmetry: R-3m (166)

Unit cell a=3.943 b=3.943 c=8.633 alpha=76.80 beta=76.80 gamma=60.00
Fractional positions:
1 Pt 0.239 0.239 0.284
2 Pt 0.761 0.761 0.716
3 Rh 0.500 0.500 0.500
4 Be 0.588 0.588 0.235
5 Be 0.134 0.134 0.597
6 Be 0.412 0.412 0.765
7 Be 0.866 0.866 0.403
8 Nd 0.000 0.000 0.000


The following is a GGA-PBE calculation of a relaxed structure of Na3CaMg3AlF14, from Alexandria.

Output
size of the total moment: 0.32 μB per formula unit
DOS(E_F): 0.0000 states/eV/atom
calculated total energy: -5.27 eV/atom
symmetry: R-3m (166)

Unit cell a=7.281 b=7.281 c=7.281 alpha=59.76 beta=59.76 gamma=59.76
Last column: magnetic moment on the atom in μB.
Fractional positions:
1 F 0.169 0.579 0.169  0.01
2 F 0.438 0.438 0.798  0.01
3 F 0.831 0.421 0.831  0.01
4 F 0.169 0.169 0.579  0.01
5 F 0.831 0.831 0.421  0.01
6 F 0.562 0.562 0.202  0.01
7 F 0.798 0.438 0.438  0.01
8 F 0.876 0.876 0.876  0.10
9 F 0.438 0.798 0.438  0.01
10 F 0.421 0.831 0.831  0.01
11 F 0.562 0.202 0.562  0.01
12 F 0.202 0.562 0.562  0.01
13 F 0.579 0.169 0.169  0.01
14 F 0.124 0.124 0.124  0.10
15 Ca 0.000 0.000 0.000  0.00
16 Mg 0.500 0.500 0.000  0.00
17 Mg 0.500 0.000 0.500  0.00
18 Mg 0.000 0.500 0.500  0.00
19 Na 0.500 0.000 0.000  0.00
20 Na 0.000 0.000 0.500  0.00
21 Na 0.000 0.500 0.000  0.00
22 Al 0.500 0.500 0.500  0.00


The following is a GGA-PBE calculation of a relaxed structure of Nd6Bi5Sb, from Alexandria.

Output
size of the total moment: 0.00 μB per formula unit
DOS(E_F): 0.1845 states/eV/atom
calculated total energy: -5.33 eV/atom
symmetry: C2/m (12)

Unit cell a=7.959 b=7.959 c=7.958 alpha=99.59 beta=99.59 gamma=119.99
Fractional positions:
1 Nd 0.588 0.918 0.752
2 Nd 0.412 0.082 0.248
3 Nd 0.918 0.588 0.752
4 Nd 0.247 0.247 0.751
5 Nd 0.082 0.412 0.248
6 Nd 0.753 0.753 0.249
7 Bi 0.334 0.666 0.000
8 Bi 0.666 0.334 0.000
9 Bi 0.832 0.168 0.500
10 Bi 0.168 0.832 0.500
11 Bi 0.500 0.500 0.500
12 Sb 0.000 0.000 0.000


The following is a GGA-PBE calculation of a relaxed structure of ZrCuSnS4, from Alexandria.

Output
size of the total moment: 0.00 μB per formula unit
DOS(E_F): 0.2961 states/eV/atom
calculated total energy: -5.56 eV/atom
symmetry: Imma (74)

Unit cell a=7.403 b=7.565 c=7.565 alpha=59.65 beta=60.70 gamma=60.70
Fractional positions:
1 Zr 0.000 0.000 0.500
2 Zr 0.500 0.000 0.500
3 S 0.249 0.758 0.745
4 S 0.754 0.237 0.737
5 S 0.751 0.755 0.742
6 S 0.271 0.237 0.737
7 S 0.751 0.242 0.255
8 S 0.729 0.763 0.263
9 S 0.249 0.245 0.258
10 S 0.246 0.763 0.263
11 Cu 0.625 0.625 0.125
12 Cu 0.375 0.375 0.875
13 Sn 0.000 0.500 0.500
14 Sn 0.000 0.000 0.000


The following is a GGA-PBE calculation of a relaxed structure of BeReAg2, from Alexandria.

Output
size of the total moment: 0.00 μB per formula unit
formation energy: 0.544 eV per atom
DOS(E_F): 0.6297 states/eV/atom
calculated total energy: -4.93 eV/atom
symmetry: Imm2 (44)

Unit cell a=5.418 b=5.418 c=5.418 alpha=151.48 beta=127.64 gamma=60.70
Fractional positions:
1 Be 0.497 0.497 0.000
2 Ag 0.000 0.000 0.000
3 Ag 0.717 0.217 0.500
4 Re 0.286 0.786 0.500